Entry from the Alexandria database: a relaxed structure of Ta5FeRe4 (PBE-GGA).

## Properties
The formation energy comes out at -0.356 eV per atom. Its density of states at the Fermi level is 4.129 states/eV/cell. The calculated volume comes out at 16.102 A^3/atom.

extended XYZ file:
```
10
Lattice="3.191 0.000 0.000 0.000 3.191 0.000 0.000 0.000 15.812" Properties=species:S:1:pos:R:3 pbc="T T T"
Ta 1.596 1.596 1.500
Ta 1.596 1.596 4.694
Ta 1.596 1.596 7.906
Ta 1.596 1.596 11.118
Ta 1.596 1.596 14.312
Fe 0.000 0.000 0.000
Re 0.000 0.000 3.078
Re 0.000 0.000 6.299
Re 0.000 0.000 9.513
Re 0.000 0.000 12.734
```